(1)
This record from the Alexandria database describes crystalline Nd5DyTm2Th at its relaxed geometry. The functional is PBE.

Its formation energy is 3.31 kcal/mol of atoms.

Unit cell a=5.4101 b=11.1299 c=10.6093 alpha=90.00 beta=90.00 gamma=104.07
With the nearest neighbours (Å) after each atom.
Fractional positions:
Nd  0.5000  0.9999  0.2582  2 Dy 3.44, 4 Tm 3.64, 6 Nd 3.78-3.79
Nd  0.7216  0.4433  0.8149  2 Nd 3.20, 1 Dy 3.31, 3 Th 3.40-3.54
Nd  0.5001  0.0001  0.7582  2 Dy 3.44, 4 Tm 3.64, 6 Nd 3.78-3.79
Nd  0.2784  0.5567  0.3149  2 Nd 3.20, 1 Dy 3.31, 3 Th 3.40-3.54
Nd  0.6249  0.2499  0.5082  1 Th 3.49, 6 Nd 3.78-3.87, 4 Tm 3.82-3.83
Nd  0.3751  0.7501  0.0082  1 Th 3.49, 6 Nd 3.78-3.87, 4 Tm 3.82-3.83
Nd  0.2785  0.5570  0.7018  2 Nd 3.20, 1 Dy 3.31, 3 Th 3.40-3.54
Nd  0.0022  0.0043  0.5081  2 Dy 3.51, 4 Tm 3.60-3.61, 6 Nd 3.79
Nd  0.9978  0.9957  0.0081  2 Dy 3.51, 4 Tm 3.60-3.61, 6 Nd 3.79
Nd  0.7215  0.4430  0.2018  2 Nd 3.20, 1 Dy 3.31, 3 Th 3.40-3.54
Dy  0.3986  0.7972  0.5082  6 Nd 3.31-3.51, 2 Th 3.63
Dy  0.6014  0.2028  0.0082  6 Nd 3.31-3.51, 2 Th 3.63
Tm  0.1129  0.2258  0.2544  1 Th 3.39, 7 Nd 3.60-3.64, 2 Dy 3.77
Tm  0.8870  0.7739  0.2619  1 Th 3.40, 7 Nd 3.60-3.64, 2 Dy 3.77
Tm  0.8871  0.7742  0.7544  1 Th 3.39, 7 Nd 3.60-3.64, 2 Dy 3.77
Tm  0.1130  0.2261  0.7618  1 Th 3.40, 7 Nd 3.60-3.64, 2 Dy 3.77
Th  0.2133  0.4266  0.0083  2 Tm 3.39-3.40, 7 Nd 3.40-3.54, 2 Dy 3.63
Th  0.7867  0.5734  0.5083  2 Tm 3.39-3.40, 7 Nd 3.40-3.54, 2 Dy 3.63

(2)
This record from the Alexandria database describes crystalline Zn2InIO6 at its relaxed geometry. The functional is PBE.

Its uncorrected formation energy is -0.9807 eV per atom.

Unit cell a=6.0774 b=7.4149 c=7.4149 alpha=79.19 beta=71.18 gamma=71.18
With the nearest neighbours (Å) after each atom.
Fractional positions:
O  0.6204  0.1929  0.6504  1 Zn 1.96, 1 I 2.04
O  0.8521  0.0458  0.1825  1 Zn 1.90
O  0.8796  0.3496  0.8071  1 Zn 1.96, 1 I 2.04
O  0.6479  0.8175  0.9542  1 Zn 1.90
O  0.1204  0.6504  0.1929  1 Zn 1.96, 1 I 2.04
O  0.1921  0.5443  0.7271  1 I 1.93, 2 Zn 2.01-2.11
O  0.8079  0.4557  0.2729  1 I 1.93, 2 Zn 2.01-2.11
O  0.3079  0.2729  0.4557  1 I 1.93, 2 Zn 2.01-2.11
O  0.3796  0.8071  0.3496  1 Zn 1.96, 1 I 2.04
O  0.1479  0.9542  0.8175  1 Zn 1.90
O  0.3521  0.1825  0.0458  1 Zn 1.90
O  0.6921  0.7271  0.5443  1 I 1.93, 2 Zn 2.01-2.11
Zn  0.1880  0.3717  0.2227  4 O 1.90-2.11
Zn  0.3120  0.7773  0.6283  4 O 1.90-2.11
Zn  0.8120  0.6283  0.7773  4 O 1.90-2.11
Zn  0.6880  0.2227  0.3717  4 O 1.90-2.11
I  0.2500  0.2725  0.7275  4 O 1.93-2.04
I  0.7500  0.7275  0.2725  4 O 1.93-2.04
In  0.2500  0.9066  0.0934  6 O 2.20-2.26
In  0.7500  0.0934  0.9066  6 O 2.20-2.26

(3)
This record from the Alexandria database describes crystalline TbCd2Au3 at its relaxed geometry. The functional is PBE.

Its formation energy is -11.45 kcal/mol of atoms.

Unit cell a=4.8504 b=4.8504 c=12.3262 alpha=90.00 beta=90.00 gamma=120.00
With the nearest neighbours (Å) after each atom.
Fractional positions:
Au  0.6667  0.3333  0.5753  4 Cd 2.95-3.20, 4 Tb 3.04
Au  0.3333  0.6667  0.9189  7 Cd 2.97-3.04, 1 Tb 3.05
Au  0.0000  0.0000  0.7647  4 Cd 2.90-2.93, 3 Tb 3.03
Au  0.3333  0.6667  0.4247  4 Cd 2.95-3.20, 4 Tb 3.04
Au  0.6667  0.3333  0.0811  7 Cd 2.97-3.04, 1 Tb 3.05
Au  0.0000  0.0000  0.2353  4 Cd 2.90-2.93, 3 Tb 3.03
Cd  0.0000  0.0000  0.5000  8 Au 2.95-3.26
Cd  0.0000  0.0000  0.0000  8 Au 2.90-2.97
Cd  0.3333  0.6667  0.1655  8 Au 2.93-3.20
Cd  0.6667  0.3333  0.8345  8 Au 2.93-3.20
Tb  0.3333  0.6667  0.6710  8 Au 3.03-3.05
Tb  0.6667  0.3333  0.3290  8 Au 3.03-3.05

(4)
This record from the Alexandria database describes crystalline Y2FeBPb at its relaxed geometry. The functional is PBE.

Its formation energy is 37.25 kcal/mol of atoms.

Unit cell a=5.6871 b=4.6922 c=5.6871 alpha=90.00 beta=90.00 gamma=90.00
With the nearest neighbours (Å) after each atom.
Fractional positions:
B  0.5000  0.5000  0.5000  8 Y 3.69, 4 Fe 4.02
Y  0.5000  0.0000  0.0000  2 Pb 2.84
Y  0.0000  0.0000  0.5000  2 Pb 2.84
Pb  0.0000  0.0000  0.0000  2 Fe 2.35
Fe  0.0000  0.5000  0.0000  2 Pb 2.35

(5)
This record from the Alexandria database describes crystalline Na4SmDy3Se8 at its relaxed geometry. The functional is PBE.

Its uncorrected formation energy is -1.7036 eV per atom.

Unit cell a=8.3349 b=8.5043 c=8.3349 alpha=119.36 beta=120.00 gamma=90.00
With the nearest neighbours (Å) after each atom.
Fractional positions:
Dy  0.5000  0.5000  0.0000  6 Se 2.89
Dy  0.0000  0.5000  0.5000  6 Se 2.89
Dy  0.5000  0.5000  0.5000  6 Se 2.89
Se  0.7540  0.2690  0.5081  2 Dy 2.89, 1 Sm 2.93, 3 Na 3.03-3.07
Se  0.2460  0.7310  0.9851  2 Dy 2.89, 1 Sm 2.93, 3 Na 3.03-3.07
Se  0.7391  0.7310  0.9851  2 Dy 2.89, 1 Sm 2.93, 3 Na 3.03-3.07
Se  0.2460  0.7310  0.4919  2 Dy 2.89, 1 Sm 2.93, 3 Na 3.03-3.07
Se  0.7540  0.2690  0.0149  2 Dy 2.89, 1 Sm 2.93, 3 Na 3.03-3.07
Se  0.2571  0.2713  0.5141  3 Dy 2.89, 3 Na 3.07
Se  0.7429  0.7287  0.4859  3 Dy 2.89, 3 Na 3.07
Se  0.2609  0.2690  0.0149  2 Dy 2.89, 1 Sm 2.93, 3 Na 3.03-3.07
Na  0.5000  0.0000  0.5000  6 Se 3.07
Na  0.5000  0.0000  0.0000  6 Se 3.03
Na  0.0000  0.0000  0.0000  6 Se 3.07
Na  0.0000  0.0000  0.5000  6 Se 3.07
Sm  0.0000  0.5000  0.0000  6 Se 2.93

(6)
This record from the Alexandria database describes crystalline LiMgIr2 at its relaxed geometry. The functional is PBE.

Its formation energy is -5.58 kcal/mol of atoms.

Unit cell a=4.1894 b=2.7268 c=5.2176 alpha=75.40 beta=90.00 gamma=90.00
With the nearest neighbours (Å) after each atom.
Fractional positions:
Ir  0.0000  0.4017  0.4766  2 Li 2.49, 5 Ir 2.63-2.76
Ir  0.0000  0.0983  0.0234  2 Li 2.49, 5 Ir 2.63-2.76
Mg  0.5000  0.7500  0.7500  2 Li 2.62, 2 Mg 2.73, 8 Ir 2.83-2.88
Li  0.5000  0.2500  0.2500  4 Ir 2.49, 2 Mg 2.62, 2 Li 2.73

(7)
This record from the Alexandria database describes crystalline AgCF2 at its relaxed geometry. The functional is PBE.

Its uncorrected formation energy is 0.4493 eV per atom.

Unit cell a=9.6768 b=9.6768 c=9.6768 alpha=15.73 beta=15.73 gamma=15.73
With the nearest neighbours (Å) after each atom.
Fractional positions:
Ag  0.5000  0.5000  0.5000  6 Ag 2.65
C  0.0000  0.0000  0.0000  2 F 1.38
F  0.9519  0.9519  0.9519  1 C 1.38
F  0.0481  0.0481  0.0481  1 C 1.38

(8)
This record from the Alexandria database describes crystalline La6Tl3Co at its relaxed geometry. The functional is PBE.

Its formation energy is -5.58 kcal/mol of atoms.

Unit cell a=5.4232 b=10.0896 c=11.3967 alpha=104.14 beta=90.00 gamma=90.00
With the nearest neighbours (Å) after each atom.
Fractional positions:
La  0.7500  0.1363  0.6253  1 Co 2.72
La  0.2500  0.6627  0.6881  1 Co 2.99, 4 Tl 3.31-3.34
La  0.7500  0.9332  0.1677  1 Co 2.47
La  0.2500  0.0668  0.8323  1 Co 2.47
La  0.7500  0.5221  0.9149  7 Tl 3.35-3.71, 2 La 3.43
La  0.2500  0.4779  0.0851  7 Tl 3.35-3.71, 2 La 3.43
La  0.7500  0.7999  0.5167  3 Co 3.12-3.45, 3 La 3.30-3.32, 1 Tl 3.31
La  0.2500  0.2001  0.4833  3 Co 3.12-3.45, 3 La 3.30-3.32, 1 Tl 3.31
La  0.7500  0.3373  0.3119  1 Co 2.99, 4 Tl 3.31-3.34
La  0.2500  0.8637  0.3747  1 Co 2.72
La  0.7500  0.8829  0.8574  5 La 3.34-3.73, 3 Tl 3.41-3.43
La  0.2500  0.1171  0.1426  5 La 3.34-3.73, 3 Tl 3.41-3.43
Tl  0.7500  0.4730  0.6103  6 La 3.31-3.71, 2 Tl 3.58
Tl  0.2500  0.7793  0.9964  10 La 3.41-3.82
Tl  0.7500  0.6319  0.2286  6 La 3.28-3.48, 2 Tl 3.58
Tl  0.2500  0.3681  0.7714  6 La 3.28-3.48, 2 Tl 3.58
Tl  0.2500  0.5270  0.3897  6 La 3.31-3.71, 2 Tl 3.58
Tl  0.7500  0.2207  0.0036  10 La 3.41-3.82
Co  0.2500  0.9308  0.6207  2 La 2.47-2.72
Co  0.7500  0.0692  0.3793  2 La 2.47-2.72

(9)
This record from the Alexandria database describes crystalline Pm2Sb at its relaxed geometry. The functional is PBE.

Its uncorrected formation energy is -0.6834 eV per atom.

Unit cell a=4.1466 b=4.1466 c=5.8620 alpha=110.71 beta=110.71 gamma=90.00
With the nearest neighbours (Å) after each atom.
Fractional positions:
Pm  0.6535  0.6535  0.3070  1 Pm 3.12, 4 Sb 3.32
Pm  0.3465  0.3465  0.6930  1 Pm 3.12, 4 Sb 3.32
Sb  0.0000  0.0000  0.0000  10 Pm 3.32-3.52

(10)
This record from the Alexandria database describes crystalline CeSmTlPd at its relaxed geometry. The functional is PBE.

Its formation energy is -9.17 kcal/mol of atoms.

Unit cell a=5.2976 b=5.2976 c=5.2976 alpha=60.00 beta=60.00 gamma=60.00
With the nearest neighbours (Å) after each atom.
Fractional positions:
Tl  0.2500  0.2500  0.2500  4 Ce 3.24, 4 Sm 3.24
Ce  0.5000  0.5000  0.5000  4 Pd 3.24, 4 Tl 3.24
Sm  0.0000  0.0000  0.0000  4 Tl 3.24, 4 Pd 3.24
Pd  0.7500  0.7500  0.7500  4 Sm 3.24, 4 Ce 3.24

In μB per formula unit, the spin magnetization values for the records above are, in order, 0.00, 0.00, 0.00, 0.49, 0.00, 0.00, 0.00, 0.00, 0.00, 0.78.